# 1
Computed, not measured: a geometry-optimized MgZnCu2H structure at the PBE level of DFT.

```
data_MgZnCu2H
_symmetry_space_group_name_H-M 'P 1'
_symmetry_Int_Tables_number 1
_cell_length_a 3.8405
_cell_length_b 3.8405
_cell_length_c 4.0217
_cell_angle_alpha 90.00
_cell_angle_beta 90.00
_cell_angle_gamma 90.00
loop_
_symmetry_equiv_pos_as_xyz
'x,y,z'
loop_
_atom_site_label
_atom_site_type_symbol
_atom_site_fract_x
_atom_site_fract_y
_atom_site_fract_z
_atom_site_occupancy
Mg1 Mg 0.0000 0.0000 0.0000 1
Zn1 Zn 0.5000 0.5000 0.0000 1
Cu1 Cu 0.0000 0.5000 0.5000 1
Cu2 Cu 0.5000 0.0000 0.5000 1
H1 H 0.0000 0.0000 0.5000 1
```

## Properties
M_tot   0.000 μB/atom
Final energy   -2.8324 eV/atom

---

# 2
Computed, not measured: a geometry-optimized Mg2ZnCuH structure at the PBE level of DFT.

```
data_Mg2ZnCuH
_symmetry_space_group_name_H-M 'P 1'
_symmetry_Int_Tables_number 1
_cell_length_a 4.2712
_cell_length_b 4.2712
_cell_length_c 3.8162
_cell_angle_alpha 90.00
_cell_angle_beta 90.00
_cell_angle_gamma 90.00
loop_
_symmetry_equiv_pos_as_xyz
'x,y,z'
loop_
_atom_site_label
_atom_site_type_symbol
_atom_site_fract_x
_atom_site_fract_y
_atom_site_fract_z
_atom_site_occupancy
Mg1 Mg 0.0000 0.5000 0.0000 1
Mg2 Mg 0.5000 0.0000 0.0000 1
Zn1 Zn 0.0000 0.0000 0.5000 1
Cu1 Cu 0.5000 0.5000 0.5000 1
H1 H 0.0000 0.0000 0.0000 1
```

## Properties
M_tot   0.000 μB/atom
Final energy   -2.3260 eV/atom

---

# 3
Computed, not measured: a geometry-optimized MgZr2CuH structure at the PBE level of DFT.

```
data_MgZr2CuH
_symmetry_space_group_name_H-M 'P 1'
_symmetry_Int_Tables_number 1
_cell_length_a 4.4638
_cell_length_b 4.4638
_cell_length_c 3.9702
_cell_angle_alpha 90.00
_cell_angle_beta 90.00
_cell_angle_gamma 90.00
loop_
_symmetry_equiv_pos_as_xyz
'x,y,z'
loop_
_atom_site_label
_atom_site_type_symbol
_atom_site_fract_x
_atom_site_fract_y
_atom_site_fract_z
_atom_site_occupancy
Mg1 Mg 0.0000 0.0000 0.0000 1
Zr1 Zr 0.0000 0.5000 0.5000 1
Zr2 Zr 0.5000 0.0000 0.5000 1
Cu1 Cu 0.5000 0.5000 0.0000 1
H1 H 0.5000 0.5000 0.5000 1
```

## Properties
M_tot   0.000 μB/atom
Final energy   -5.3211 eV/atom

---

# 4
Computed, not measured: a geometry-optimized MgZrCuH2 structure at the PBE level of DFT.

```
data_MgZrCuH2
_symmetry_space_group_name_H-M 'P 1'
_symmetry_Int_Tables_number 1
_cell_length_a 3.9717
_cell_length_b 3.9717
_cell_length_c 5.0550
_cell_angle_alpha 90.00
_cell_angle_beta 90.00
_cell_angle_gamma 90.00
loop_
_symmetry_equiv_pos_as_xyz
'x,y,z'
loop_
_atom_site_label
_atom_site_type_symbol
_atom_site_fract_x
_atom_site_fract_y
_atom_site_fract_z
_atom_site_occupancy
Mg1 Mg 0.0000 0.0000 0.0000 1
Zr1 Zr 0.5000 0.5000 0.0000 1
Cu1 Cu 0.5000 0.5000 0.5000 1
H1 H 0.0000 0.5000 0.5000 1
H2 H 0.5000 0.0000 0.5000 1
```

## Properties
M_tot   0.000 μB/atom
Final energy   -3.3041 eV/atom

---

# 5
Computed, not measured: a geometry-optimized Mg2ZrCuH structure at the PBE level of DFT.

```
data_Mg2ZrCuH
_symmetry_space_group_name_H-M 'P 1'
_symmetry_Int_Tables_number 1
_cell_length_a 4.3161
_cell_length_b 4.3161
_cell_length_c 4.1663
_cell_angle_alpha 90.00
_cell_angle_beta 90.00
_cell_angle_gamma 90.00
loop_
_symmetry_equiv_pos_as_xyz
'x,y,z'
loop_
_atom_site_label
_atom_site_type_symbol
_atom_site_fract_x
_atom_site_fract_y
_atom_site_fract_z
_atom_site_occupancy
Mg1 Mg 0.0000 0.5000 0.0000 1
Mg2 Mg 0.5000 0.0000 0.0000 1
Zr1 Zr 0.0000 0.0000 0.5000 1
Cu1 Cu 0.5000 0.5000 0.5000 1
H1 H 0.0000 0.0000 0.0000 1
```

## Properties
M_tot   0.000 μB/atom
Final energy   -3.8681 eV/atom

---

# 6
Computed, not measured: a geometry-optimized MgZr2CuH structure at the PBE level of DFT.

```
data_MgZr2CuH
_symmetry_space_group_name_H-M 'P 1'
_symmetry_Int_Tables_number 1
_cell_length_a 4.2835
_cell_length_b 4.2835
_cell_length_c 4.3533
_cell_angle_alpha 90.00
_cell_angle_beta 90.00
_cell_angle_gamma 90.00
loop_
_symmetry_equiv_pos_as_xyz
'x,y,z'
loop_
_atom_site_label
_atom_site_type_symbol
_atom_site_fract_x
_atom_site_fract_y
_atom_site_fract_z
_atom_site_occupancy
Mg1 Mg 0.0000 0.0000 0.0000 1
Zr1 Zr 0.0000 0.5000 0.5000 1
Zr2 Zr 0.5000 0.0000 0.5000 1
Cu1 Cu 0.5000 0.5000 0.0000 1
H1 H 0.0000 0.0000 0.5000 1
```

## Properties
M_tot   0.000 μB/atom
Final energy   -5.3050 eV/atom

---

# 7
Computed, not measured: a geometry-optimized MnCuH structure at the PBE level of DFT.

```
data_MnCuH
_symmetry_space_group_name_H-M 'P 1'
_symmetry_Int_Tables_number 1
_cell_length_a 4.6382
_cell_length_b 4.6382
_cell_length_c 4.6382
_cell_angle_alpha 131.71
_cell_angle_beta 131.71
_cell_angle_gamma 70.69
loop_
_symmetry_equiv_pos_as_xyz
'x,y,z'
loop_
_atom_site_label
_atom_site_type_symbol
_atom_site_fract_x
_atom_site_fract_y
_atom_site_fract_z
_atom_site_occupancy
Mn1 Mn 0.2469 0.2469 0.0000 1
Mn2 Mn 0.7531 0.7531 0.0000 1
Cu1 Cu 0.5102 0.0102 0.5000 1
Cu2 Cu 0.9898 0.4898 0.5000 1
H1 H 0.0000 0.0000 0.0000 1
H2 H 0.2500 0.7500 0.5000 1
```

## Properties
M_tot   0.983 μB/atom
Final energy   -5.3783 eV/atom

---

# 8
Computed, not measured: a geometry-optimized Mn2CuH structure at the PBE level of DFT.

```
data_Mn2CuH
_symmetry_space_group_name_H-M 'P 1'
_symmetry_Int_Tables_number 1
_cell_length_a 6.3947
_cell_length_b 6.3947
_cell_length_c 6.3947
_cell_angle_alpha 23.25
_cell_angle_beta 23.25
_cell_angle_gamma 23.25
loop_
_symmetry_equiv_pos_as_xyz
'x,y,z'
loop_
_atom_site_label
_atom_site_type_symbol
_atom_site_fract_x
_atom_site_fract_y
_atom_site_fract_z
_atom_site_occupancy
Mn1 Mn 0.2196 0.2196 0.2196 1
Mn2 Mn 0.7804 0.7804 0.7804 1
Cu1 Cu 0.0000 0.0000 0.0000 1
H1 H 0.5000 0.5000 0.5000 1
```

## Properties
M_tot   0.000 μB/atom
Final energy   -6.3257 eV/atom